(1)
# BeGaCo (PBE-GGA, optimized geometry)
data_BeGaCo
_cell_length_a 5.2371
_cell_length_b 5.2371
_cell_length_c 5.2371
_cell_angle_alpha 90.00
_cell_angle_beta 90.00
_cell_angle_gamma 90.00
_symmetry_space_group_name_H-M 'F -4 3 m'
_symmetry_Int_Tables_number 216
_symmetry_space_group_name_Hall 'F -4 2 3'
loop_
_atom_site_label
_atom_site_type_symbol
_atom_site_fract_x
_atom_site_fract_y
_atom_site_fract_z
Be1 Be 0.0000 0.0000 0.0000
Ga1 Ga 0.2500 0.2500 0.2500
Co1 Co 0.2500 0.2500 0.7500
# V (Å³/atom): 11.97
# Size of the total moment (μB per atom): 0.00
# DFT total energy (eV per atom): -4.583
# Density (g/cm3): 6.4

(2)
# MgNiMoAs (PBE-GGA, optimized geometry)
data_MgNiMoAs
_cell_length_a 6.1310
_cell_length_b 6.1310
_cell_length_c 6.1310
_cell_angle_alpha 90.00
_cell_angle_beta 90.00
_cell_angle_gamma 90.00
_symmetry_space_group_name_H-M 'F -4 3 m'
_symmetry_Int_Tables_number 216
_symmetry_space_group_name_Hall 'F -4 2 3'
loop_
_atom_site_label
_atom_site_type_symbol
_atom_site_fract_x
_atom_site_fract_y
_atom_site_fract_z
Mg1 Mg 0.0000 0.0000 0.0000
Ni1 Ni 0.2500 0.2500 0.7500
Mo1 Mo 0.2500 0.2500 0.2500
As1 As 0.0000 0.0000 0.5000
# V (Å³/atom): 14.40
# Size of the total moment (μB per atom): 0.00
# Energy above the most stable polymorph in this dataset (kcal/mol of atoms): 0.00
# DFT total energy (eV per atom): -5.487
# Density (g/cm3): 7.3

(3)
# ZnFeSb (PBE-GGA, optimized geometry)
data_ZnFeSb
_cell_length_a 6.5463
_cell_length_b 3.4762
_cell_length_c 8.3118
_cell_angle_alpha 90.00
_cell_angle_beta 90.00
_cell_angle_gamma 90.00
_symmetry_space_group_name_H-M 'P n m a'
_symmetry_Int_Tables_number 62
_symmetry_space_group_name_Hall '-P 2ac 2n'
loop_
_atom_site_label
_atom_site_type_symbol
_atom_site_fract_x
_atom_site_fract_y
_atom_site_fract_z
Zn1 Zn 0.1027 0.2500 0.0813
Fe1 Fe 0.1277 0.2500 0.7337
Sb1 Sb 0.1506 0.2500 0.3986
# V (Å³/atom): 15.76
# Size of the total moment (μB per atom): 0.33
# Energy above the most stable polymorph in this dataset (kcal/mol of atoms): 2.11
# DFT total energy (eV per atom): -4.360
# Density (g/cm3): 8.5

(4)
# DyHoSn2Os (PBE-GGA, optimized geometry)
data_DyHoSn2Os
_cell_length_a 10.9659
_cell_length_b 4.4558
_cell_length_c 10.9214
_cell_angle_alpha 90.00
_cell_angle_beta 115.57
_cell_angle_gamma 90.00
_symmetry_space_group_name_H-M 'C 1 2/m 1'
_symmetry_Int_Tables_number 12
_symmetry_space_group_name_Hall '-C 2y'
loop_
_atom_site_label
_atom_site_type_symbol
_atom_site_fract_x
_atom_site_fract_y
_atom_site_fract_z
Dy1 Dy 0.0037 0.0000 0.1720
Ho1 Ho 0.1853 0.0000 0.6289
Sn1 Sn 0.0333 0.5000 0.3855
Sn2 Sn 0.1563 0.5000 0.0492
Os1 Os 0.2200 0.5000 0.8256
# V (Å³/atom): 24.07
# Size of the total moment (μB per atom): 0.00
# DFT total energy (eV per atom): -6.183
# Density (g/cm3): 10.4

(5)
# HoBeIr (PBE-GGA, optimized geometry)
data_HoBeIr
_cell_length_a 6.2082
_cell_length_b 6.2082
_cell_length_c 6.2082
_cell_angle_alpha 90.00
_cell_angle_beta 90.00
_cell_angle_gamma 90.00
_symmetry_space_group_name_H-M 'F -4 3 m'
_symmetry_Int_Tables_number 216
_symmetry_space_group_name_Hall 'F -4 2 3'
loop_
_atom_site_label
_atom_site_type_symbol
_atom_site_fract_x
_atom_site_fract_y
_atom_site_fract_z
Ho1 Ho 0.0000 0.0000 0.0000
Be1 Be 0.0000 0.0000 0.5000
Ir1 Ir 0.2500 0.2500 0.7500
# V (Å³/atom): 19.94
# Size of the total moment (μB per atom): 0.00
# Energy above the most stable polymorph in this dataset (kcal/mol of atoms): 2.24
# DFT total energy (eV per atom): -5.917
# Density (g/cm3): 10.2

(6)
# TmSiGe (PBE-GGA, optimized geometry)
data_TmSiGe
_cell_length_a 6.5144
_cell_length_b 6.5144
_cell_length_c 6.5144
_cell_angle_alpha 90.00
_cell_angle_beta 90.00
_cell_angle_gamma 90.00
_symmetry_space_group_name_H-M 'F -4 3 m'
_symmetry_Int_Tables_number 216
_symmetry_space_group_name_Hall 'F -4 2 3'
loop_
_atom_site_label
_atom_site_type_symbol
_atom_site_fract_x
_atom_site_fract_y
_atom_site_fract_z
Tm1 Tm 0.0000 0.0000 0.0000
Si1 Si 0.2500 0.2500 0.7500
Ge1 Ge 0.0000 0.0000 0.5000
# V (Å³/atom): 23.04
# Size of the total moment (μB per atom): 0.00
# Energy above the most stable polymorph in this dataset (kcal/mol of atoms): 0.00
# DFT total energy (eV per atom): -4.900
# Density (g/cm3): 6.5

(7)
# Y2Ta4Pb3C3 (PBE-GGA, optimized geometry)
data_Y2Ta4Pb3C3
_cell_length_a 10.2319
_cell_length_b 5.8933
_cell_length_c 15.0154
_cell_angle_alpha 90.00
_cell_angle_beta 103.92
_cell_angle_gamma 90.00
_symmetry_space_group_name_H-M 'C 1 2/c 1'
_symmetry_Int_Tables_number 15
_symmetry_space_group_name_Hall '-C 2yc'
loop_
_atom_site_label
_atom_site_type_symbol
_atom_site_fract_x
_atom_site_fract_y
_atom_site_fract_z
Y1 Y 0.0425 0.0779 0.4025
Ta1 Ta 0.1098 0.4051 0.5716
Ta2 Ta 0.2299 0.4248 0.9284
Pb1 Pb 0.0000 0.4572 0.2500
Pb2 Pb 0.1893 0.1034 0.7546
C1 C 0.0891 0.2663 0.9996
C2 C 0.2500 0.2500 0.5000
# V (Å³/atom): 18.31
# Size of the total moment (μB per atom): 0.00
# DFT total energy (eV per atom): -8.585
# Density (g/cm3): 11.8

(8)
# PrZnIn (PBE-GGA, optimized geometry)
data_PrZnIn
_cell_length_a 4.7370
_cell_length_b 4.7370
_cell_length_c 7.7635
_cell_angle_alpha 90.00
_cell_angle_beta 90.00
_cell_angle_gamma 120.00
_symmetry_space_group_name_H-M 'P 63/m m c'
_symmetry_Int_Tables_number 194
_symmetry_space_group_name_Hall '-P 6c 2c'
loop_
_atom_site_label
_atom_site_type_symbol
_atom_site_fract_x
_atom_site_fract_y
_atom_site_fract_z
Pr1 Pr 0.0000 0.0000 0.0000
Zn1 Zn 0.3333 0.6667 0.2500
In1 In 0.3333 0.6667 0.7500
# V (Å³/atom): 25.14
# Size of the total moment (μB per atom): 0.00
# DFT total energy (eV per atom): -3.375
# Density (g/cm3): 7.1

(9)
# Hf6NiBi2 (PBE-GGA, optimized geometry)
data_Hf6NiBi2
_cell_length_a 7.8199
_cell_length_b 7.8199
_cell_length_c 3.6657
_cell_angle_alpha 90.00
_cell_angle_beta 90.00
_cell_angle_gamma 120.00
_symmetry_space_group_name_H-M 'P -6 2 m'
_symmetry_Int_Tables_number 189
_symmetry_space_group_name_Hall 'P -6 -2'
loop_
_atom_site_label
_atom_site_type_symbol
_atom_site_fract_x
_atom_site_fract_y
_atom_site_fract_z
Hf1 Hf 0.0000 0.2349 0.0000
Hf2 Hf 0.0000 0.6118 0.5000
Ni1 Ni 0.0000 0.0000 0.5000
Bi1 Bi 0.3333 0.6667 0.0000
# V (Å³/atom): 21.57
# Size of the total moment (μB per atom): 0.00
# DFT total energy (eV per atom): -8.422
# Density (g/cm3): 13.2

(10)
# ZnPdO3 (PBE-GGA, optimized geometry)
data_ZnPdO3
_cell_length_a 5.1971
_cell_length_b 5.1971
_cell_length_c 13.8107
_cell_angle_alpha 90.00
_cell_angle_beta 90.00
_cell_angle_gamma 120.00
_symmetry_space_group_name_H-M 'R -3'
_symmetry_Int_Tables_number 148
_symmetry_space_group_name_Hall '-R 3'
loop_
_atom_site_label
_atom_site_type_symbol
_atom_site_fract_x
_atom_site_fract_y
_atom_site_fract_z
Zn1 Zn 0.0000 0.0000 0.1327
Pd1 Pd 0.0000 0.0000 0.3417
O1 O 0.0152 0.3116 0.2506
# V (Å³/atom): 10.77
# DFT total energy (eV per atom): -5.016
# Density (g/cm3): 6.8

(11)
# ErTm2Sn3Ir2Pd (PBE-GGA, optimized geometry)
data_ErTm2Sn3Ir2Pd
_cell_length_a 3.7861
_cell_length_b 13.1527
_cell_length_c 7.5865
_cell_angle_alpha 90.00
_cell_angle_beta 90.00
_cell_angle_gamma 90.00
_symmetry_space_group_name_H-M 'A m m 2'
_symmetry_Int_Tables_number 38
_symmetry_space_group_name_Hall 'A 2 -2'
loop_
_atom_site_label
_atom_site_type_symbol
_atom_site_fract_x
_atom_site_fract_y
_atom_site_fract_z
Er1 Er 0.0000 0.0000 0.0000
Tm1 Tm 0.0000 0.2026 0.6077
Sn1 Sn 0.5000 0.0000 0.6738
Sn2 Sn 0.5000 0.1344 0.2710
Ir1 Ir 0.5000 0.1671 0.9049
Pd1 Pd 0.0000 0.0000 0.4057
# V (Å³/atom): 20.99
# Size of the total moment (μB per atom): 0.00
# DFT total energy (eV per atom): -6.249
# Density (g/cm3): 11.9

(12)
# Ba2Pa2O7 (PBE-GGA, optimized geometry)
data_Ba2Pa2O7
_cell_length_a 7.3539
_cell_length_b 8.3600
_cell_length_c 5.9644
_cell_angle_alpha 90.00
_cell_angle_beta 90.00
_cell_angle_gamma 90.00
_symmetry_space_group_name_H-M 'C m m m'
_symmetry_Int_Tables_number 65
_symmetry_space_group_name_Hall '-C 2 2'
loop_
_atom_site_label
_atom_site_type_symbol
_atom_site_fract_x
_atom_site_fract_y
_atom_site_fract_z
Ba1 Ba 0.2396 0.0000 0.0000
Pa1 Pa 0.0000 0.2753 0.5000
O1 O 0.0000 0.0000 0.5000
O2 O 0.0000 0.5000 0.2825
O3 O 0.2500 0.2500 0.2778
# V (Å³/atom): 16.67
# Size of the total moment (μB per atom): 0.00
# DFT total energy (eV per atom): -8.135
# Density (g/cm3): 7.7